Entry 1:
Computed, not measured: a geometry-optimized Er2Tm3Ni2 structure at the PBE level of DFT.

Properties
Formation energy ... -285.0 meV/atom
Total moment ... 0.00 Bohr magnetons per cell
Uncorrected energy ... -5.157 eV per atom

a b c (Å): 11.995 3.547 8.871
angles (deg): 90.00 116.70 90.00
Space group C2/m (No. 12)
One atom of each set of equivalent atoms:
Er (0.166, 0.000, 0.311) [4 per cell]
Tm (0.000, 0.500, 0.500) [2 per cell]
Tm (0.116, 0.500, 0.934) [4 per cell]
Ni (0.174, 0.000, 0.739) [4 per cell]

Entry 2:
Computed, not measured: a geometry-optimized ErTmNi2 structure at the PBE level of DFT.

Properties
Formation energy ... -445.6 meV/atom
Total moment ... 0.00 Bohr magnetons per cell
Excess energy over the best structure of this formula in the dataset ... 51 meV/atom
Uncorrected energy ... -5.595 eV per atom

a b c (Å): 4.745 4.745 3.289
angles (deg): 90.00 90.00 90.00
Space group P4/mmm (No. 123)
One atom of each set of equivalent atoms:
Er (0.000, 0.000, 0.000) [1 per cell]
Tm (0.500, 0.500, 0.000) [1 per cell]
Ni (0.000, 0.500, 0.500) [2 per cell]

Entry 3:
Computed, not measured: a geometry-optimized Er3Tm2Ni4 structure at the PBE level of DFT.

Properties
Formation energy ... -413.5 meV/atom
Total moment ... 0.00 Bohr magnetons per cell
Uncorrected energy ... -5.498 eV per atom

a b c (Å): 7.295 7.179 7.401
angles (deg): 90.00 106.72 90.00
Space group P2_1/c (No. 14)
One atom of each set of equivalent atoms:
Er (0.000, 0.000, 0.000) [2 per cell]
Er (0.265, 0.171, 0.749) [4 per cell]
Tm (0.299, 0.680, 0.905) [4 per cell]
Ni (0.002, 0.619, 0.117) [4 per cell]
Ni (0.410, 0.027, 0.120) [4 per cell]

Entry 4:
Computed, not measured: a geometry-optimized Er4Tm3Ni4 structure at the PBE level of DFT.

Properties
Formation energy ... -262.2 meV/atom
Total moment ... 0.00 Bohr magnetons per cell
Uncorrected energy ... -5.243 eV per atom

a b c (Å): 3.600 8.652 15.734
angles (deg): 90.00 90.00 90.00
Space group Immm (No. 71)
One atom of each set of equivalent atoms:
Er (0.000, 0.186, 0.165) [8 per cell]
Tm (0.000, 0.000, 0.400) [4 per cell]
Tm (0.000, 0.500, 0.500) [2 per cell]
Ni (0.000, 0.297, 0.000) [4 per cell]
Ni (0.000, 0.500, 0.246) [4 per cell]

Entry 5:
Computed, not measured: a geometry-optimized ErTmZnNi structure at the PBE level of DFT.

Properties
Formation energy ... -379.4 meV/atom
Total moment ... 0.00 Bohr magnetons per cell
Excess energy over the best structure of this formula in the dataset ... 28 meV/atom
Uncorrected energy ... -4.402 eV per atom

a b c (Å): 6.858 6.858 6.858
angles (deg): 90.00 90.00 90.00
Space group F-43m (No. 216)
One atom of each set of equivalent atoms:
Er (0.000, 0.000, 0.000) [4 per cell]
Tm (0.000, 0.000, 0.500) [4 per cell]
Zn (0.250, 0.250, 0.750) [4 per cell]
Ni (0.250, 0.250, 0.250) [4 per cell]

Entry 6:
Computed, not measured: a geometry-optimized ErTmZnNi structure at the PBE level of DFT.

Properties
Formation energy ... -407.6 meV/atom
Total moment ... 0.00 Bohr magnetons per cell
Excess energy over the best structure of this formula in the dataset ... 0 meV/atom
Uncorrected energy ... -4.430 eV per atom

a b c (Å): 3.421 3.421 6.899
angles (deg): 90.00 90.00 90.00
Space group P4mm (No. 99)
One atom of each set of equivalent atoms:
Er (0.000, 0.000, 0.000) [1 per cell]
Tm (0.000, 0.000, 0.533) [1 per cell]
Zn (0.500, 0.500, 0.268) [1 per cell]
Ni (0.500, 0.500, 0.764) [1 per cell]

Entry 7:
Computed, not measured: a geometry-optimized Er2UNi9 structure at the PBE level of DFT.

Properties
Formation energy ... -360.0 meV/atom
Total moment ... 2.67 Bohr magnetons per cell
Uncorrected energy ... -6.397 eV per atom

a b c (Å): 4.9105 4.9105 24.3622
angles (deg): 90.00 90.00 120.00
Space group R-3m (No. 166, hexagonal axes)
One atom of each set of equivalent atoms:
Er (0.0000, 0.0000, 0.1393) [6 per cell]
U (0.0000, 0.0000, 0.0000) [3 per cell]
Ni (0.0000, 0.0000, 0.3333) [6 per cell]
Ni (0.0000, 0.0000, 0.5000) [3 per cell]
Ni (0.0010, 0.5005, 0.9177) [18 per cell]

Entry 8:
Computed, not measured: a geometry-optimized ErUNi4 structure at the PBE level of DFT.

Properties
Formation energy ... -270.6 meV/atom
Total moment ... 10.01 Bohr magnetons per cell
Uncorrected energy ... -6.767 eV per atom

a b c (Å): 7.108 7.108 7.108
angles (deg): 90.00 90.00 90.00
Space group F-43m (No. 216)
One atom of each set of equivalent atoms:
Er (0.000, 0.000, 0.000) [4 per cell]
U (0.250, 0.250, 0.750) [4 per cell]
Ni (0.125, 0.125, 0.375) [16 per cell]

Entry 9:
Computed, not measured: a geometry-optimized ErUNi17 structure at the PBE level of DFT.

Properties
Formation energy ... -169.1 meV/atom
Total moment ... 13.47 Bohr magnetons per cell
Uncorrected energy ... -6.176 eV per atom

a b c (Å): 8.2297 8.2297 12.0447
angles (deg): 90.00 90.00 120.00
Space group R3m (No. 160, hexagonal axes)
One atom of each set of equivalent atoms:
Er (0.0000, 0.0000, 0.0000) [3 per cell]
U (0.0000, 0.0000, 0.6729) [3 per cell]
Ni (0.0000, 0.0000, 0.2402) [3 per cell]
Ni (0.0000, 0.0000, 0.4406) [3 per cell]
Ni (0.0008, 0.5004, 0.1844) [9 per cell]
Ni (0.0025, 0.3004, 0.3376) [18 per cell]
Ni (0.0022, 0.5011, 0.8367) [9 per cell]
Ni (0.0062, 0.5031, 0.4909) [9 per cell]

Entry 10:
Computed, not measured: a geometry-optimized ErVNi2 structure at the PBE level of DFT.

Properties
Formation energy ... -245.0 meV/atom
Total moment ... 0.01 Bohr magnetons per cell
Uncorrected energy ... -6.556 eV per atom

a b c (Å): 4.0646 4.0646 13.9844
angles (deg): 90.00 90.00 120.00
Space group R-3m (No. 166, hexagonal axes)
One atom of each set of equivalent atoms:
Er (0.0000, 0.0000, 0.0000) [3 per cell]
V (0.0000, 0.0000, 0.5000) [3 per cell]
Ni (0.0000, 0.0000, 0.2014) [6 per cell]

Entry 11:
Computed, not measured: a geometry-optimized ErV2Ni9 structure at the PBE level of DFT.

Properties
Formation energy ... -180.1 meV/atom
Total moment ... 8.57 Bohr magnetons per cell
Uncorrected energy ... -6.416 eV per atom

a b c (Å): 4.7530 4.7530 23.2725
angles (deg): 90.00 90.00 120.00
Space group R-3m (No. 166, hexagonal axes)
One atom of each set of equivalent atoms:
Er (0.0000, 0.0000, 0.0000) [3 per cell]
V (0.0000, 0.0000, 0.1481) [6 per cell]
Ni (0.0000, 0.0000, 0.3337) [6 per cell]
Ni (0.0000, 0.0000, 0.5000) [3 per cell]
Ni (0.0050, 0.5025, 0.9130) [18 per cell]

Entry 12:
Computed, not measured: a geometry-optimized YEr2Ni structure at the PBE level of DFT.

Properties
Formation energy ... -92.5 meV/atom
Total moment ... 0.00 Bohr magnetons per cell
Excess energy over the best structure of this formula in the dataset ... 167 meV/atom
Uncorrected energy ... -5.435 eV per atom

a b c (Å): 3.6466 3.6466 28.0647
angles (deg): 90.00 90.00 120.00
Space group R-3m (No. 166, hexagonal axes)
One atom of each set of equivalent atoms:
Y (0.0000, 0.0000, 0.0000) [3 per cell]
Er (0.0000, 0.0000, 0.2269) [6 per cell]
Ni (0.0000, 0.0000, 0.5000) [3 per cell]